First-principles (PBE) data for crystalline LaGdPa at its relaxed geometry, as listed in OQMD.

Structure (POSCAR):
```
LaGdPa
1.0
0.000 3.791 3.791
3.791 0.000 3.791
3.791 3.791 0.000
La Gd Pa
1 1 1
direct
0.000 0.000 0.000 La
0.500 0.500 0.500 Gd
0.750 0.750 0.750 Pa
```

The value obtained for the total energy is -5.305 eV per atom.